Arrangement A

Here is crystalline Ac2GdBr at its relaxed geometry from Alexandria. Energies are from PBE.

abc: 3.9459 3.9459 11.4670
angles: 80.09 80.09 60.00
With the nearest neighbours (Å) after each atom.
Sites, in units of the cell vectors:
Ac  0.2564  0.2564  0.2307  3 Br 3.45, 3 Gd 3.79
Gd  0.5000  0.5000  0.5000  6 Ac 3.79, 6 Gd 3.95
Ac  0.7436  0.7436  0.7693  3 Br 3.45, 3 Gd 3.79
Br  0.0000  0.0000  0.0000  6 Ac 3.45

Calculated values
Space group: R-3m, No. 166
Crystal system: trigonal

---

Arrangement B

Here is crystalline Ac2GdBr at its relaxed geometry from Alexandria. Energies are from PBE.

abc: 3.8377 3.8377 10.1299
angles: 90.00 90.00 90.00
With the nearest neighbours (Å) after each atom.
Sites, in units of the cell vectors:
Gd  0.5000  0.5000  0.5000  8 Ac 3.79, 4 Gd 3.84
Br  0.5000  0.5000  0.0000  8 Ac 3.64, 4 Br 3.84
Ac  0.0000  0.0000  0.2393  4 Br 3.64, 4 Gd 3.79, 4 Ac 3.84
Ac  0.0000  0.0000  0.7607  4 Br 3.64, 4 Gd 3.79, 4 Ac 3.84

Calculated values
Space group: P4/mmm, No. 123
Crystal system: tetragonal

---

Winner for stability: arrangement A

---

Arrangement A

Here is crystalline Ac3Ge2Br at its relaxed geometry from Alexandria. Energies are from PBE.

abc: 8.1358 8.1526 7.9591
angles: 90.00 90.00 119.93
With the nearest neighbours (Å) after each atom.
Sites, in units of the cell vectors:
Ac  0.8858  0.0000  0.7500  1 Br 3.14, 4 Ge 3.22
Ac  0.5005  0.3863  0.7500  1 Br 3.14, 4 Ge 3.22
Ge  0.8336  0.6673  0.0000  6 Ac 3.22
Ge  0.8336  0.6673  0.5000  6 Ac 3.22
Ge  0.1664  0.3327  0.0000  6 Ac 3.22
Ac  0.1142  0.0000  0.2500  1 Br 3.14, 4 Ge 3.22
Ge  0.1664  0.3327  0.5000  6 Ac 3.22
Br  0.4993  0.0000  0.7500  3 Ac 3.14
Ac  0.8857  0.3863  0.2500  1 Br 3.14, 4 Ge 3.22
Ac  0.1143  0.6137  0.7500  1 Br 3.14, 4 Ge 3.22
Ac  0.4995  0.6137  0.2500  1 Br 3.14, 4 Ge 3.22
Br  0.5007  0.0000  0.2500  3 Ac 3.14

Calculated values
Space group: Cmcm, No. 63
Crystal system: orthorhombic

---

Arrangement B

Here is crystalline Ac3Ge2Br at its relaxed geometry from Alexandria. Energies are from PBE.

abc: 4.6115 6.4321 8.0236
angles: 113.63 106.70 90.00
With the nearest neighbours (Å) after each atom.
Sites, in units of the cell vectors:
Ac  0.8179  0.3179  0.1358  4 Ge 3.19-3.23, 2 Br 3.43
Ge  0.1602  0.1602  0.8204  6 Ac 3.19-3.23
Ac  0.1821  0.6821  0.8642  4 Ge 3.19-3.23, 2 Br 3.43
Ge  0.8398  0.8398  0.1796  6 Ac 3.19-3.23
Ac  0.5000  0.0000  0.5000  4 Ge 3.21, 2 Br 3.22
Br  0.5000  0.5000  0.5000  6 Ac 3.22-3.43

Calculated values
Space group: Immm, No. 71
Crystal system: orthorhombic

---

Winner for stability: arrangement B

---

Arrangement A

Here is crystalline AcSmGeBr at its relaxed geometry from Alexandria. Energies are from PBE.

abc: 5.3861 5.3861 5.3861
angles: 60.00 60.00 60.00
With the nearest neighbours (Å) after each atom.
Sites, in units of the cell vectors:
Br  0.2500  0.2500  0.2500  4 Ac 3.30, 4 Sm 3.30
Ge  0.7500  0.7500  0.7500  4 Sm 3.30, 4 Ac 3.30
Sm  0.5000  0.5000  0.5000  4 Ge 3.30, 4 Br 3.30
Ac  0.0000  0.0000  0.0000  4 Ge 3.30, 4 Br 3.30

Calculated values
Space group: F-43m, No. 216
Crystal system: cubic

---

Arrangement B

Here is crystalline AcSmGeBr at its relaxed geometry from Alexandria. Energies are from PBE.

abc: 4.7844 5.4551 6.1772
angles: 90.00 90.00 116.01
With the nearest neighbours (Å) after each atom.
Sites, in units of the cell vectors:
Ac  0.1556  0.3111  0.5000  3 Br 2.99-3.06, 2 Ge 3.09
Br  0.8510  0.7019  0.5000  3 Ac 2.99-3.06, 2 Sm 3.09
Ge  0.1605  0.3209  0.0000  3 Sm 3.00-3.09, 2 Ac 3.09
Sm  0.8453  0.6907  0.0000  3 Ge 3.00-3.09, 2 Br 3.09

Calculated values
Space group: Amm2, No. 38
Crystal system: orthorhombic

---

Winner for stability: arrangement A

---

Arrangement A

Here is crystalline SrAcGeBr at its relaxed geometry from Alexandria. Energies are from PBE.

abc: 5.5586 5.5586 5.5586
angles: 60.00 60.00 60.00
With the nearest neighbours (Å) after each atom.
Sites, in units of the cell vectors:
Sr  0.0000  0.0000  0.0000  4 Ge 3.40, 4 Br 3.40
Ac  0.5000  0.5000  0.5000  4 Br 3.40, 4 Ge 3.40
Ge  0.7500  0.7500  0.7500  4 Sr 3.40, 4 Ac 3.40
Br  0.2500  0.2500  0.2500  4 Ac 3.40, 4 Sr 3.40

Calculated values
Space group: F-43m, No. 216
Crystal system: cubic

---

Arrangement B

Here is crystalline SrAcGeBr at its relaxed geometry from Alexandria. Energies are from PBE.

abc: 5.4061 5.4568 6.3787
angles: 90.00 90.00 119.69
With the nearest neighbours (Å) after each atom.
Sites, in units of the cell vectors:
Ac  0.8373  0.6745  0.0000  3 Ge 3.14, 2 Br 3.19
Ge  0.1687  0.3374  0.0000  3 Ac 3.14, 2 Sr 3.19
Sr  0.1687  0.3375  0.5000  3 Br 3.14, 2 Ge 3.19
Br  0.8377  0.6753  0.5000  3 Sr 3.14, 2 Ac 3.19

Calculated values
Space group: Amm2, No. 38
Crystal system: orthorhombic

---

Winner for stability: arrangement A

---

Arrangement A

Here is crystalline AcH2Br at its relaxed geometry from Alexandria. Energies are from PBE.

abc: 3.5591 3.5591 6.0329
angles: 90.00 90.00 90.00
With the nearest neighbours (Å) after each atom.
Sites, in units of the cell vectors:
H  0.0000  0.0000  0.1672  1 H 2.02
H  0.0000  0.0000  0.8328  1 H 2.02
Ac  0.5000  0.5000  0.0000  8 H 2.71, 2 Br 3.02
Br  0.5000  0.5000  0.5000  2 Ac 3.02, 8 H 3.22

Calculated values
Space group: P4/mmm, No. 123
Crystal system: tetragonal

---

Arrangement B

Here is crystalline AcH2Br at its relaxed geometry from Alexandria. Energies are from PBE.

abc: 4.1568 4.1568 5.5524
angles: 68.02 68.02 60.00
With the nearest neighbours (Å) after each atom.
Sites, in units of the cell vectors:
Br  0.5000  0.5000  0.5000  8 H 2.97-3.15
H  0.3025  0.3025  0.0924  3 Ac 2.44, 3 H 2.57
H  0.6975  0.6975  0.9076  3 Ac 2.44, 3 H 2.57
Ac  0.0000  0.0000  0.0000  6 H 2.44

Calculated values
Space group: R-3m, No. 166
Crystal system: trigonal

---

Winner for stability: arrangement B

---

Arrangement A

Here is crystalline Ac2IBr at its relaxed geometry from Alexandria. Energies are from PBE.

abc: 4.0094 4.0094 10.5454
angles: 79.04 79.04 60.00
With the nearest neighbours (Å) after each atom.
Sites, in units of the cell vectors:
Br  0.5000  0.5000  0.5000  6 Ac 3.39
I  0.0000  0.0000  0.0000  6 Ac 3.53
Ac  0.7530  0.7530  0.7410  3 Br 3.39, 3 I 3.53
Ac  0.2470  0.2470  0.2590  3 Br 3.39, 3 I 3.53

Calculated values
Space group: R-3m, No. 166
Crystal system: trigonal

---

Arrangement B

Here is crystalline Ac2IBr at its relaxed geometry from Alexandria. Energies are from PBE.

abc: 4.0217 4.0217 10.5439
angles: 79.01 79.01 60.00
With the nearest neighbours (Å) after each atom.
Sites, in units of the cell vectors:
Br  0.6672  0.6672  0.9983  6 Ac 3.41-3.44
I  0.4996  0.4996  0.5012  6 Ac 3.49-3.51
Ac  0.2515  0.2515  0.2455  3 Br 3.44, 3 I 3.51
Ac  0.0817  0.0817  0.7550  3 Br 3.41, 3 I 3.49

Calculated values
Space group: R3m, No. 160
Crystal system: trigonal

---

Arrangement C

Here is crystalline Ac2IBr at its relaxed geometry from Alexandria. Energies are from PBE.

abc: 4.0386 5.7616 5.7616
angles: 90.00 90.00 90.00
With the nearest neighbours (Å) after each atom.
Sites, in units of the cell vectors:
Br  0.5000  0.0000  0.0000  8 Ac 3.52
I  0.5000  0.5000  0.5000  8 Ac 3.52
Ac  0.0000  0.5000  0.0000  4 Br 3.52, 4 I 3.52
Ac  0.0000  0.0000  0.5000  4 Br 3.52, 4 I 3.52

Calculated values
Space group: P4/mmm, No. 123
Crystal system: tetragonal

---

Winner for stability: arrangement B